No. 1
# TiV3Ag

Crystalline TiV3Ag at its relaxed geometry (GGA-PBE, Alexandria via LeMat-Bulk).

Properties
Crystal system   cubic
Space-group type   No. 221
Offset from the most stable computed form   0.4962 eV/atom

a = 4.7838 Å, b = 4.7838 Å, c = 4.7838 Å
α = 90.00°, β = 90.00°, γ = 90.00°
Last column: nearest neighbours and their distance in Å.
Fractional coordinates of all 5 atoms:
1 V 0.0000 0.5000 0.0000  2 Ag 2.39
2 V 0.0000 0.0000 0.5000  2 Ag 2.39
3 Ti 0.5000 0.5000 0.5000  12 V 3.38
4 V 0.5000 0.0000 0.0000  2 Ag 2.39
5 Ag 0.0000 0.0000 0.0000  6 V 2.39

---

No. 2
# TiVAg2

Crystalline TiVAg2 at its relaxed geometry (GGA-PBE, Alexandria via LeMat-Bulk).

Properties
Crystal system   tetragonal
Space-group type   No. 122
Offset from the most stable computed form   0.2895 eV/atom

a = 7.4032 Å, b = 7.4032 Å, c = 5.8591 Å
α = 50.82°, β = 50.82°, γ = 90.00°
Last column: nearest neighbours and their distance in Å.
Fractional coordinates of all 8 atoms:
1 Ag 0.3750 0.3671 0.7500  2 Ag 2.63, 2 V 2.66, 2 Ti 2.74
2 V 0.0000 0.0000 0.0000  2 Ti 2.63, 4 Ag 2.66
3 Ag 0.1171 0.6250 0.2500  2 Ag 2.63, 2 V 2.66, 2 Ti 2.74
4 V 0.7500 0.2500 0.5000  2 Ti 2.63, 4 Ag 2.66
5 Ti 0.5000 0.5000 0.0000  2 V 2.63, 4 Ag 2.74
6 Ag 0.8750 0.8829 0.7500  2 Ag 2.63, 2 V 2.66, 2 Ti 2.74
7 Ti 0.2500 0.7500 0.5000  2 V 2.63, 4 Ag 2.74
8 Ag 0.6329 0.1250 0.2500  2 Ag 2.63, 2 V 2.66, 2 Ti 2.74

---

Result set for theoretical density: 4.7 7.2 Mg/m³, one per record in the order listed.